## CaCoSn2 (PBE)

Data for CaCoSn2 after structural relaxation.

Summary:
Energy relative to the elements in kJ per mole of atoms: 0.9
Magnetic moment in μB/cell: 0.00
D(E_F) in states/eV/atom: 1.257

a b c (Å): 4.907 4.907 4.907
angles (deg): 60.00 60.00 60.00
Atoms (fractional coordinates):
Sn 0.750 0.750 0.750
Sn 0.250 0.250 0.250
Co 0.500 0.500 0.500
Ca 0.000 0.000 0.000